(1)
Computed, not measured: SrPdSO after structural relaxation at the GGA-PBE level of DFT.

a b c (Å): 5.5640 5.5640 8.2536
angles (deg): 90.00 90.00 37.07
Closest atoms and distances in Å follow each position.
Fractional coordinates of all 8 atoms:
S (0.3741, 0.3741, 0.2691)  2 Pd 2.31
S (0.6259, 0.6259, 0.7691)  2 Pd 2.31
Sr (0.9961, 0.9961, 0.0154)  2 O 2.40
Sr (0.0039, 0.0039, 0.5154)  2 O 2.40
O (0.8840, 0.8840, 0.7619)  2 Pd 2.16, 2 Sr 2.40
O (0.1160, 0.1160, 0.2619)  2 Pd 2.16, 2 Sr 2.40
Pd (0.2660, 0.2660, 0.7660)  2 O 2.16, 2 S 2.31
Pd (0.7340, 0.7340, 0.2660)  2 O 2.16, 2 S 2.31

Calculated values
Space group: No. 36


(2)
Computed, not measured: SrPdSO after structural relaxation at the GGA-PBE level of DFT.

a b c (Å): 5.9765 9.0391 5.9715
angles (deg): 90.00 90.00 90.00
Closest atoms and distances in Å follow each position.
Fractional coordinates of all 16 atoms:
S (0.9943, 0.3466, 0.5248)  1 Pd 2.42
S (0.5057, 0.3466, 0.0248)  1 Pd 2.42
S (0.0057, 0.6534, 0.0248)  1 Pd 2.42
S (0.4943, 0.6534, 0.5248)  1 Pd 2.42
Sr (0.0028, 0.3196, 0.0220)  1 O 2.41
Sr (0.5028, 0.6804, 0.0220)  1 O 2.41
Sr (0.9972, 0.6804, 0.5220)  1 O 2.41
Sr (0.4972, 0.3196, 0.5220)  1 O 2.41
Pd (0.0189, 0.0791, 0.5143)  2 O 1.99-2.02
Pd (0.5189, 0.9209, 0.5143)  2 O 1.99-2.02
Pd (0.9811, 0.9209, 0.0143)  2 O 1.99-2.02
Pd (0.4811, 0.0791, 0.0143)  2 O 1.99-2.02
O (0.8877, 0.9123, 0.6889)  2 Pd 1.99-2.02
O (0.1123, 0.0877, 0.1889)  2 Pd 1.99-2.02
O (0.3877, 0.0877, 0.6889)  2 Pd 1.99-2.02
O (0.6123, 0.9123, 0.1889)  2 Pd 1.99-2.02

Calculated values
Space group: No. 29


(3)
Computed, not measured: SrPdSO after structural relaxation at the GGA-PBE level of DFT.

a b c (Å): 7.7713 6.1411 6.1409
angles (deg): 90.00 90.02 90.00
Closest atoms and distances in Å follow each position.
Fractional coordinates of all 16 atoms:
S (0.4281, 0.9698, 0.7108)  2 Pd 2.33-2.36
S (0.0719, 0.0303, 0.2107)  2 Pd 2.32-2.36
S (0.5719, 0.4698, 0.7892)  2 Pd 2.33-2.36
S (0.9281, 0.5303, 0.2893)  2 Pd 2.32-2.36
O (0.4470, 0.4045, 0.2886)  2 Pd 2.15-2.18
O (0.5530, 0.9045, 0.2114)  2 Pd 2.15-2.18
O (0.0531, 0.5955, 0.7886)  2 Pd 2.15-2.18
O (0.9469, 0.0955, 0.7114)  2 Pd 2.15-2.18
Pd (0.9850, 0.3112, 0.9824)  2 O 2.15-2.18, 2 S 2.32-2.36
Pd (0.0150, 0.8112, 0.5176)  2 O 2.15-2.18, 2 S 2.32-2.36
Pd (0.5150, 0.6887, 0.4823)  2 O 2.15-2.18, 2 S 2.33-2.36
Pd (0.4850, 0.1887, 0.0177)  2 O 2.15-2.18, 2 S 2.33-2.36
Sr (0.7943, 0.8156, 0.9490)  3 O 2.53-2.62
Sr (0.7057, 0.1843, 0.4490)  3 O 2.53-2.62
Sr (0.2057, 0.3156, 0.5510)  3 O 2.53-2.62
Sr (0.2943, 0.6843, 0.0510)  3 O 2.53-2.62

Calculated values
Space group: No. 19


| no. | energy above the lowest structure with this stoichiometry (eV/atom) | V (Å³/f.u.) |
| --- | --- | --- |
| 1 | 0.085 | 77.0 |
| 2 | 0.261 | 80.6 |
| 3 | 0.023 | 73.3 |